ThCu11Ni | Alexandria | PBE-GGA | relaxed; ΔE_f = -1.096 eV per formula unit; VASP energy = -4.566 eV/atom; total moment = 0.00 μB/f.u.; symmetry = C2/m
1.0
2.439 -6.083 0.000
2.439 6.083 0.000
-2.306 0.000 5.918
Th Cu Ni
1 11 1
Cartesian
0.000 0.000 0.000 Th
1.220 3.041 0.000 Cu
0.140 3.938 3.798 Cu
0.112 1.374 4.584 Cu
2.432 3.938 2.121 Cu
2.461 1.374 1.334 Cu
1.220 -3.041 0.000 Cu
1.286 0.000 2.959 Cu
0.112 -1.374 4.584 Cu
0.140 -3.938 3.798 Cu
2.461 -1.374 1.334 Cu
2.432 -3.938 2.121 Cu
-1.153 0.000 2.959 Ni